Material: TcPtW3
Method: DFT, PBE
State: relaxed

Calculated values
**Electronic total energy**: -9.19 eV/atom
**ΔH_f (0 K)**: 1863 meV per atom
**Polymorph energy (0 for the lowest one)**: 0.00 eV/f.u.

Lattice parameters (Å, degrees): 4.645 4.645 4.645 90.00 90.00 90.00
Fractional coordinates of all 5 atoms:
W 0.000 0.500 0.000
W 0.000 0.000 0.500
W 0.500 0.000 0.000
Pt 0.500 0.500 0.500
Tc 0.000 0.000 0.000

***

Material: ZnTc2PtW
Method: DFT, PBE
State: relaxed

Calculated values
**Electronic total energy**: -6.68 eV/atom
**ΔH_f (0 K)**: 1519 meV per atom

Lattice parameters (Å, degrees): 4.709 4.884 4.709 90.00 90.00 90.00
Site moments in Bohr magnetons follow the coordinates.
Fractional coordinates of all 5 atoms:
Zn 0.500 0.500 0.500  -0.05
W 0.000 0.000 0.000  -0.32
Pt 0.000 0.500 0.000  -0.02
Tc 0.000 0.000 0.500  1.04
Tc 0.500 0.000 0.000  1.07